# Ce2YTa GGA-PBE optimized geometry
data_Ce2YTa
_symmetry_space_group_name_H-M 'R -3 m'
_symmetry_Int_Tables_number 166
_symmetry_space_group_name_Hall '-R 3 2"'
_cell_length_a 3.1337
_cell_length_b 3.1337
_cell_length_c 35.9494
_cell_angle_alpha 90.00
_cell_angle_beta 90.00
_cell_angle_gamma 120.00
loop_
_atom_site_label
_atom_site_fract_x
_atom_site_fract_y
_atom_site_fract_z
_atom_site_occupancy
Ce1 0.0000 0.0000 0.0788 1
Y1 0.0000 0.0000 0.5000 1
Ta1 0.0000 0.0000 0.0000 1
# DFT formation energy = 2.03 eV/f.u.


# Sm2Al6Ru GGA-PBE optimized geometry
data_Sm2Al6Ru
_symmetry_space_group_name_H-M 'P -3 m 1'
_symmetry_Int_Tables_number 164
_symmetry_space_group_name_Hall '-P 3 2"'
_cell_length_a 5.8763
_cell_length_b 5.8763
_cell_length_c 5.8781
_cell_angle_alpha 90.00
_cell_angle_beta 90.00
_cell_angle_gamma 120.00
loop_
_atom_site_label
_atom_site_fract_x
_atom_site_fract_y
_atom_site_fract_z
_atom_site_occupancy
Sm1 0.3333 0.6667 0.3508 1
Al1 0.1703 0.3405 0.8165 1
Ru1 0.0000 0.0000 0.5000 1
# DFT formation energy = -4.22 eV/f.u.


# ErAl3Ge3 GGA-PBE optimized geometry
data_ErAl3Ge3
_symmetry_space_group_name_H-M 'R -3'
_symmetry_Int_Tables_number 148
_symmetry_space_group_name_Hall '-R 3'
_cell_length_a 7.2101
_cell_length_b 7.2101
_cell_length_c 20.3115
_cell_angle_alpha 90.00
_cell_angle_beta 90.00
_cell_angle_gamma 120.00
loop_
_atom_site_label
_atom_site_fract_x
_atom_site_fract_y
_atom_site_fract_z
_atom_site_occupancy
Er1 0.0000 0.0000 0.1664 1
Al1 0.0017 0.3382 0.6218 1
Ge1 0.0008 0.3255 0.4197 1
# DFT formation energy = -1.92 eV/f.u.


# Cr2W GGA-PBE optimized geometry
data_Cr2W
_symmetry_space_group_name_H-M 'P 4/m m m'
_symmetry_Int_Tables_number 123
_symmetry_space_group_name_Hall '-P 4 2'
_cell_length_a 4.141
_cell_length_b 4.141
_cell_length_c 3.005
_cell_angle_alpha 90.00
_cell_angle_beta 90.00
_cell_angle_gamma 90.00
loop_
_atom_site_label
_atom_site_fract_x
_atom_site_fract_y
_atom_site_fract_z
_atom_site_occupancy
Cr1 0.000 0.500 0.000 1
W1 0.000 0.000 0.500 1
# DFT formation energy = 3.27 eV/f.u.


# Sr2Sn3BiRh4 GGA-PBE optimized geometry
data_Sr2Sn3BiRh4
_symmetry_space_group_name_H-M 'P -4 m 2'
_symmetry_Int_Tables_number 115
_symmetry_space_group_name_Hall 'P -4 -2'
_cell_length_a 4.660
_cell_length_b 4.660
_cell_length_c 10.694
_cell_angle_alpha 90.00
_cell_angle_beta 90.00
_cell_angle_gamma 90.00
loop_
_atom_site_label
_atom_site_fract_x
_atom_site_fract_y
_atom_site_fract_z
_atom_site_occupancy
Sr1 0.000 0.500 0.241 1
Sn1 0.000 0.500 0.878 1
Sn2 0.500 0.500 0.500 1
Bi1 0.000 0.000 0.500 1
Rh1 0.000 0.000 0.000 1
Rh2 0.000 0.500 0.632 1
Rh3 0.500 0.500 0.000 1
# DFT formation energy = -5.79 eV/f.u.


# SmHo2ScBi4 GGA-PBE optimized geometry
data_SmHo2ScBi4
_symmetry_space_group_name_H-M 'P 1 2/m 1'
_symmetry_Int_Tables_number 10
_symmetry_space_group_name_Hall '-P 2y'
_cell_length_a 7.692
_cell_length_b 4.446
_cell_length_c 7.698
_cell_angle_alpha 90.00
_cell_angle_beta 109.48
_cell_angle_gamma 90.00
loop_
_atom_site_label
_atom_site_fract_x
_atom_site_fract_y
_atom_site_fract_z
_atom_site_occupancy
Sm1 0.000 0.000 0.000 1
Ho1 0.000 0.500 0.500 1
Ho2 0.500 0.000 0.500 1
Sc1 0.500 0.500 0.000 1
Bi1 0.259 0.500 0.250 1
Bi2 0.261 0.000 0.756 1
# DFT formation energy = -6.38 eV/f.u.


# NbTeH2PdI GGA-PBE optimized geometry
data_NbTeH2PdI
_symmetry_space_group_name_H-M 'P 1 m 1'
_symmetry_Int_Tables_number 6
_symmetry_space_group_name_Hall 'P -2y'
_cell_length_a 4.970
_cell_length_b 3.553
_cell_length_c 7.604
_cell_angle_alpha 90.00
_cell_angle_beta 107.19
_cell_angle_gamma 90.00
loop_
_atom_site_label
_atom_site_fract_x
_atom_site_fract_y
_atom_site_fract_z
_atom_site_occupancy
Nb1 0.000 0.000 0.000 1
Te1 0.059 0.500 0.733 1
H1 0.615 0.000 0.993 1
H2 0.911 0.500 0.081 1
Pd1 0.511 0.500 0.021 1
I1 0.395 0.000 0.330 1
# final energy = -4.611 eV per atom


# TaTlO2 GGA-PBE optimized geometry
data_TaTlO2
_symmetry_space_group_name_H-M 'R -3 m'
_symmetry_Int_Tables_number 166
_symmetry_space_group_name_Hall '-R 3 2"'
_cell_length_a 3.2852
_cell_length_b 3.2852
_cell_length_c 22.5354
_cell_angle_alpha 90.00
_cell_angle_beta 90.00
_cell_angle_gamma 120.00
loop_
_atom_site_label
_atom_site_fract_x
_atom_site_fract_y
_atom_site_fract_z
_atom_site_occupancy
Ta1 0.0000 0.0000 0.0000 1
Tl1 0.0000 0.0000 0.5000 1
O1 0.0000 0.0000 0.0827 1
# formation energy without anion corrections = -3.7 eV per formula unit


Question: Number 7 is which compound?
Answer: NbTeH2PdI


Copy entry 6 word for word.
# SmHo2ScBi4 GGA-PBE optimized geometry
data_SmHo2ScBi4
_symmetry_space_group_name_H-M 'P 1 2/m 1'
_symmetry_Int_Tables_number 10
_symmetry_space_group_name_Hall '-P 2y'
_cell_length_a 7.692
_cell_length_b 4.446
_cell_length_c 7.698
_cell_angle_alpha 90.00
_cell_angle_beta 109.48
_cell_angle_gamma 90.00
loop_
_atom_site_label
_atom_site_fract_x
_atom_site_fract_y
_atom_site_fract_z
_atom_site_occupancy
Sm1 0.000 0.000 0.000 1
Ho1 0.000 0.500 0.500 1
Ho2 0.500 0.000 0.500 1
Sc1 0.500 0.500 0.000 1
Bi1 0.259 0.500 0.250 1
Bi2 0.261 0.000 0.756 1
# DFT formation energy = -6.38 eV/f.u.